(1)
! LaOs2Pb | Alexandria | GGA-PBE | relaxed; values from VASP
&SYSTEM
  ibrav = 0, nat = 4, ntyp = 3
/
ATOMIC_SPECIES
La 138.91 La.upf
Os 190.23 Os.upf
Pb 207.20 Pb.upf
CELL_PARAMETERS angstrom
5.613 -0.023 0.056
4.714 3.047 0.056
2.078 0.608 5.145
ATOMIC_POSITIONS crystal
La 0.267 0.267 0.243
Os 0.034 0.034 0.900
Os 0.729 0.729 0.820
Pb 0.470 0.470 0.537
! total energy: -29.17 eV/cell
! energy relative to the elements: 1.93 eV per formula unit
! SG: Cm
! size of the total moment: 0.0002 μB/atom

=====

(2)
! CdBBr3 | Alexandria | GGA-PBE | relaxed; values from VASP
&SYSTEM
  ibrav = 0, nat = 5, ntyp = 3
/
ATOMIC_SPECIES
Cd 112.41 Cd.upf
B 10.81 B.upf
Br 79.90 Br.upf
CELL_PARAMETERS angstrom
-3.744 1.884 -3.489
-3.916 -2.515 2.843
-0.627 4.457 3.080
ATOMIC_POSITIONS crystal
Cd 0.000 0.000 0.000
B 0.500 0.500 0.500
Br 0.000 0.500 0.000
Br 0.000 0.000 0.500
Br 0.500 0.000 0.000
! total energy: -9.79 eV/cell
! energy relative to the elements, uncorrected: 0.565 eV/atom
! SG: Pm-3m
! size of the total moment: 0.0000 μB/atom

=====

(3)
! Ba6CdAg2 | Alexandria | GGA-PBE | relaxed; values from VASP
&SYSTEM
  ibrav = 0, nat = 18, ntyp = 3
/
ATOMIC_SPECIES
Ba 137.33 Ba.upf
Cd 112.41 Cd.upf
Ag 107.87 Ag.upf
CELL_PARAMETERS angstrom
-9.367 2.870 -2.728
2.203 -9.558 -2.687
0.853 0.258 10.131
ATOMIC_POSITIONS crystal
Ba 0.550 0.725 0.825
Ba 0.450 0.275 0.175
Ba 0.099 0.275 0.825
Ba 0.901 0.725 0.175
Ba 0.813 0.754 0.566
Ba 0.187 0.246 0.434
Ba 0.187 0.754 0.941
Ba 0.813 0.246 0.059
Ba 0.693 0.361 0.668
Ba 0.307 0.639 0.332
Ba 0.307 0.975 0.668
Ba 0.693 0.025 0.332
Cd 0.000 0.500 0.500
Cd 0.000 0.000 0.000
Ag 0.500 0.383 0.883
Ag 0.500 0.617 0.117
Ag 0.666 0.000 0.666
Ag 0.334 0.000 0.334
! total energy: -39.61 eV/cell
! energy relative to the elements: -1.65 eV per formula unit
! SG: Immm
! size of the total moment: 0.0001 μB/atom

=====

> What is the total energy in the second record?

-9.79 eV/cell

=====

What did the first record say?
! LaOs2Pb | Alexandria | GGA-PBE | relaxed; values from VASP
&SYSTEM
  ibrav = 0, nat = 4, ntyp = 3
/
ATOMIC_SPECIES
La 138.91 La.upf
Os 190.23 Os.upf
Pb 207.20 Pb.upf
CELL_PARAMETERS angstrom
5.613 -0.023 0.056
4.714 3.047 0.056
2.078 0.608 5.145
ATOMIC_POSITIONS crystal
La 0.267 0.267 0.243
Os 0.034 0.034 0.900
Os 0.729 0.729 0.820
Pb 0.470 0.470 0.537
! total energy: -29.17 eV/cell
! energy relative to the elements: 1.93 eV per formula unit
! SG: Cm
! size of the total moment: 0.0002 μB/atom